Record 1
A PBEsol-optimized structure of Na3YC3O9. Source: Alexandria via LeMat-Bulk, functional SCAN.

Unit cell a=6.479 b=6.479 c=9.859 alpha=90.00 beta=90.00 gamma=114.36
Fractional positions:
Na 0.070 0.070 0.500
Na 0.366 0.405 0.750
Na 0.070 0.070 0.000
Na 0.799 0.203 0.250
Na 0.203 0.799 0.750
Na 0.405 0.366 0.250
O 0.162 0.444 0.390
O 0.444 0.162 0.610
O 0.974 0.948 0.250
O 0.162 0.444 0.110
O 0.948 0.974 0.750
O 0.436 0.095 0.386
O 0.591 0.765 0.250
O 0.813 0.572 0.250
O 0.444 0.162 0.890
O 0.765 0.591 0.750
O 0.095 0.436 0.614
O 0.105 0.725 0.485
O 0.725 0.105 0.985
O 0.095 0.436 0.886
O 0.725 0.105 0.515
O 0.105 0.725 0.015
O 0.572 0.813 0.750
O 0.436 0.095 0.114
Y 0.228 0.771 0.250
Y 0.771 0.228 0.750
C 0.534 0.118 0.998
C 0.118 0.534 0.002
C 0.118 0.534 0.498
C 0.759 0.787 0.750
C 0.534 0.118 0.502
C 0.787 0.759 0.250

- Raw formation energy: -34.813 eV/f.u.
- Total magnetic moment: 0.000 μB/atom
- N(E_F): 0.00 states/eV per cell
- Calculated volume: 11.78 A^3/atom

***

Record 2
A PBEsol-optimized structure of NaOsPbC2. Source: Alexandria via LeMat-Bulk, functional SCAN.

Unit cell a=4.409 b=4.409 c=5.117 alpha=90.00 beta=90.00 gamma=90.00
Each line ends with the local moment (μB).
Fractional positions:
C 0.500 0.000 0.000  -0.46
C 0.000 0.500 0.000  -0.46
Os 0.500 0.500 0.500  2.49
Na 0.000 0.000 0.500  0.01
Pb 0.000 0.000 0.000  0.08

- Total magnetic moment: 0.300 μB/atom
- N(E_F): 2.06 states/eV per cell
- Formation enthalpy at 0 K: 3387 meV/atom
- Calculated volume: 19.89 A^3/atom

***

Record 3
A PBEsol-optimized structure of NaOs2PbC. Source: Alexandria via LeMat-Bulk, functional SCAN.

Unit cell a=4.589 b=4.589 c=4.931 alpha=90.00 beta=90.00 gamma=90.00
Each line ends with the local moment (μB).
Fractional positions:
Na 0.000 0.000 0.000  0.02
Os 0.000 0.500 0.000  1.28
Os 0.500 0.000 0.000  1.28
Pb 0.000 0.000 0.500  -0.01
C 0.500 0.500 0.500  -0.77

- Total magnetic moment: 0.305 μB/atom
- N(E_F): 3.17 states/eV per cell
- Formation enthalpy at 0 K: 3832 meV/atom
- Calculated volume: 20.77 A^3/atom

***

Record 4
A PBEsol-optimized structure of Na3PC. Source: Alexandria via LeMat-Bulk, functional SCAN.

Unit cell a=5.347 b=5.347 c=5.347 alpha=90.00 beta=90.00 gamma=90.00
Each line ends with the local moment (μB).
Fractional positions:
Na 0.000 0.500 0.000  0.00
Na 0.500 0.000 0.000  0.00
Na 0.000 0.000 0.500  0.00
P 0.000 0.000 0.000  -0.25
C 0.500 0.500 0.500  1.11

- Total magnetic moment: 0.400 μB/atom
- N(E_F): 5.98 states/eV per cell
- Formation enthalpy at 0 K: 1031 meV/atom
- Calculated volume: 30.58 A^3/atom

***

Record 5
A PBEsol-optimized structure of Na2PC. Source: Alexandria via LeMat-Bulk, functional SCAN.

Unit cell a=3.647 b=7.307 c=7.307 alpha=86.43 beta=75.55 gamma=75.55
Fractional positions:
P 0.750 0.500 0.500
P 0.000 0.000 0.000
C 0.250 0.500 0.500
C 0.500 0.000 0.000
Na 0.375 0.250 0.750
Na 0.375 0.250 0.250
Na 0.375 0.750 0.250
Na 0.875 0.750 0.750

- Total magnetic moment: 0.000 μB/atom
- N(E_F): 2.22 states/eV per cell
- Formation enthalpy at 0 K: 503 meV/atom
- Calculated volume: 22.82 A^3/atom

***

Record 6
A PBEsol-optimized structure of NaP2C. Source: Alexandria via LeMat-Bulk, functional SCAN.

Unit cell a=5.393 b=5.393 c=5.393 alpha=104.07 beta=112.24 gamma=112.24
Fractional positions:
P 0.391 0.875 0.766
P 0.109 0.234 0.625
P 0.609 0.375 0.484
P 0.891 0.516 0.125
Na 0.000 0.000 0.000
Na 0.500 0.750 0.250
C 0.000 0.500 0.500
C 0.500 0.250 0.750

- Total magnetic moment: 0.000 μB/atom
- N(E_F): 4.41 states/eV per cell
- Formation enthalpy at 0 K: 413 meV/atom
- Calculated volume: 14.99 A^3/atom

***

Record 7
A PBEsol-optimized structure of NaPd3C. Source: Alexandria via LeMat-Bulk, functional SCAN.

Unit cell a=4.506 b=4.506 c=4.506 alpha=90.00 beta=90.00 gamma=90.00
Each line ends with the local moment (μB).
Fractional positions:
Na 0.000 0.000 0.000  0.00
Pd 0.000 0.500 0.000  0.04
Pd 0.500 0.000 0.000  0.04
Pd 0.000 0.000 0.500  0.04
C 0.500 0.500 0.500  0.52

- Total magnetic moment: 0.223 μB/atom
- N(E_F): 4.81 states/eV per cell
- Formation enthalpy at 0 K: 2431 meV/atom
- Calculated volume: 18.29 A^3/atom

***

Record 8
A PBEsol-optimized structure of Rb2NaPdC. Source: Alexandria via LeMat-Bulk, functional SCAN.

Unit cell a=4.368 b=6.243 c=6.243 alpha=90.00 beta=90.00 gamma=90.00
Each line ends with the local moment (μB).
Fractional positions:
Rb 0.000 0.500 0.000  0.00
Rb 0.000 0.000 0.500  0.00
C 0.500 0.000 0.000  1.03
Na 0.000 0.000 0.000  0.04
Pd 0.500 0.500 0.500  0.11

- Total magnetic moment: 0.495 μB/atom
- N(E_F): 1.98 states/eV per cell
- Formation enthalpy at 0 K: 1271 meV/atom
- Calculated volume: 34.05 A^3/atom

***

Q: Which E_tot values were calculated for the entries above? A: -10.1050 -31.0281 -42.9395 -5.5982 -6.7295 -8.3653 -20.0969 -16.4426, in eV/atom.